Density functional theory data (PBE-GGA) for NaLaCu2 after structural relaxation.

a = 7.7181 Å, b = 7.7181 Å, c = 6.3095 Å
α = 52.29°, β = 52.29°, γ = 90.00°
Closest atoms and distances in Å follow each position.
Element x y z (fractional)
La 0.0000 0.0000 0.0000  4 Cu 2.93, 2 Na 3.17
Cu 0.8750 0.8581 0.7500  2 Na 2.75, 2 La 2.93
Cu 0.3750 0.3919 0.7500  2 Na 2.75, 2 La 2.93
Na 0.2500 0.7500 0.5000  4 Cu 2.75
Cu 0.1419 0.6250 0.2500  2 Na 2.75, 2 La 2.93
La 0.7500 0.2500 0.5000  4 Cu 2.93, 2 Na 3.17
Na 0.5000 0.5000 0.0000  4 Cu 2.75
Cu 0.6081 0.1250 0.2500  2 Na 2.75, 2 La 2.93

Results
**M_tot**: 0.0 μB per formula unit
**Formation enthalpy at 0 K**: 0.3655 eV/atom
**Energy**: -3.24 eV/atom
**V**: 23.6 Å³ per atom
**SG**: I-42d